Entry 1:
First-principles (GGA-PBEsol) data for crystalline Zn2Au at its relaxed geometry, as listed in Alexandria via LeMat-Bulk.

Geometry as POSCAR:
```
Zn2Au
1.0
2.7426 -2.7340 0.0000
2.7426 2.7340 0.0000
-2.6840 0.0000 11.8318
Zn Au
8 4
Direct
0.0417 0.7917 0.5838 Zn
0.1249 0.3750 0.7499 Zn
0.2083 0.9583 0.9162 Zn
0.3750 0.1249 0.2499 Zn
0.6250 0.8751 0.7501 Zn
0.7917 0.0417 0.0838 Zn
0.8751 0.6250 0.2501 Zn
0.9583 0.2083 0.4162 Zn
0.2949 0.5451 0.0909 Au
0.4549 0.7051 0.4091 Au
0.5451 0.2949 0.5909 Au
0.7051 0.4549 0.9091 Au
```

Properties
SG: No. 15
Raw total energy in eV for the cell shown: -30.3
Energy of formation in meV/atom: -162
Calculated volume in Å³ per cell: 177.4

Entry 2:
First-principles (GGA-PBEsol) data for crystalline YCrAu2 at its relaxed geometry, as listed in Alexandria via LeMat-Bulk.

Geometry as POSCAR:
```
YCrAu2
1.0
3.4143 0.0000 0.0000
0.0000 3.4143 0.0000
0.0000 0.0000 6.5338
Y Cr Au
1 1 2
Direct
0.0000 0.0000 0.0000 Y
0.0000 0.0000 0.5000 Cr
0.5000 0.5000 0.2765 Au
0.5000 0.5000 0.7235 Au
```

Properties
SG: No. 123
Raw total energy in eV for the cell shown: -25.9
Energy of formation in meV/atom: -258
Calculated volume in Å³ per cell: 76.2

Entry 3:
First-principles (GGA-PBEsol) data for crystalline LiP3 at its relaxed geometry, as listed in Alexandria via LeMat-Bulk.

Geometry as POSCAR:
```
LiP3
1.0
-1.7793 1.7793 4.3764
1.7793 -1.7793 4.3764
1.7793 1.7793 -4.3764
Li P
1 3
Direct
0.0000 0.0000 0.0000 Li
0.2500 0.7500 0.5000 P
0.5000 0.5000 0.0000 P
0.7500 0.2500 0.5000 P
```

Properties
SG: No. 139
Raw total energy in eV for the cell shown: -18.6
Energy of formation in meV/atom: 192
Calculated volume in Å³ per cell: 55.4
ΔE to the lowest computed polymorph in meV per atom: 142

Entry 4:
First-principles (GGA-PBEsol) data for crystalline P2RuW at its relaxed geometry, as listed in Alexandria via LeMat-Bulk.

Geometry as POSCAR:
```
P2RuW
1.0
-1.4732 1.9784 4.5791
1.4732 -1.9784 4.5791
1.4732 1.9784 -4.5791
P Ru W
2 1 1
Direct
0.0000 0.0000 0.0000 P
0.7259 0.2259 0.5000 P
0.2072 0.7072 0.5000 Ru
0.4771 0.4771 0.0000 W
```

Properties
SG: No. 44
Raw total energy in eV for the cell shown: -36.1
Energy of formation in meV/atom: -137
Calculated volume in Å³ per cell: 53.4

Entry 5:
First-principles (GGA-PBEsol) data for crystalline CrFeAs2 at its relaxed geometry, as listed in Alexandria via LeMat-Bulk.

Geometry as POSCAR:
```
CrFeAs2
1.0
2.9512 0.0000 0.0000
0.0000 4.4746 0.0000
-1.3286 0.0000 4.2422
Cr Fe As
1 1 2
Direct
0.0000 0.0000 0.0000 Cr
0.5961 0.5000 0.1856 Fe
0.6875 0.0000 0.4252 As
0.9114 0.5000 0.7661 As
```

Properties
SG: No. 6
Raw total energy in eV for the cell shown: -29.4
Energy of formation in meV/atom: 15
Calculated volume in Å³ per cell: 56.0
ΔE to the lowest computed polymorph in meV per atom: 253

Entry 6:
First-principles (GGA-PBEsol) data for crystalline ZrBSb2 at its relaxed geometry, as listed in Alexandria via LeMat-Bulk.

Geometry as POSCAR:
```
ZrBSb2
1.0
-3.4691 3.4691 3.3139
3.4691 -3.4691 3.3139
3.4691 3.4691 -3.3139
Zr B Sb
2 2 4
Direct
0.0000 0.0000 0.0000 Zr
0.7500 0.2500 0.5000 Zr
0.2500 0.7500 0.5000 B
0.5000 0.5000 0.0000 B
0.2032 0.1250 0.5782 Sb
0.3750 0.7968 0.9218 Sb
0.5468 0.6250 0.4218 Sb
0.8750 0.4532 0.0782 Sb
```

Properties
SG: No. 122
Raw total energy in eV for the cell shown: -48.4
Energy relative to the elements, uncorrected in kJ/mol of atoms: 24.5
Calculated volume in Å³ per cell: 159.5

Entry 7:
First-principles (GGA-PBEsol) data for crystalline PIrPtO2 at its relaxed geometry, as listed in Alexandria via LeMat-Bulk.

Geometry as POSCAR:
```
PIrPtO2
1.0
3.6188 0.0000 0.0000
0.0000 3.6188 0.0000
0.0000 0.0000 5.5786
P Ir Pt O
1 1 1 2
Direct
0.0000 0.0000 0.0000 P
0.0000 0.0000 0.5000 Ir
0.5000 0.5000 0.0000 Pt
0.0000 0.5000 0.5000 O
0.5000 0.0000 0.5000 O
```

Properties
SG: No. 123
Raw total energy in eV for the cell shown: -33.2
Energy relative to the elements, uncorrected in kJ/mol of atoms: -3.1
Calculated volume in Å³ per cell: 73.1
ΔE to the lowest computed polymorph in meV per atom: 0

Entry 8:
First-principles (GGA-PBEsol) data for crystalline SmFeSb2 at its relaxed geometry, as listed in Alexandria via LeMat-Bulk.

Geometry as POSCAR:
```
SmFeSb2
1.0
4.2713 0.0000 0.0000
0.0000 4.2713 0.0000
0.0000 0.0000 9.5749
Sm Fe Sb
2 2 4
Direct
0.2500 0.2500 0.2410 Sm
0.7500 0.7500 0.7590 Sm
0.2500 0.7500 0.0000 Fe
0.7500 0.2500 0.0000 Fe
0.2500 0.2500 0.8622 Sb
0.2500 0.7500 0.5000 Sb
0.7500 0.2500 0.5000 Sb
0.7500 0.7500 0.1378 Sb
```

Properties
SG: No. 129
Raw total energy in eV for the cell shown: -50.8
Energy relative to the elements, uncorrected in kJ/mol of atoms: -54.1
Calculated volume in Å³ per cell: 174.7

Entry 9:
First-principles (GGA-PBEsol) data for crystalline Ta3SN at its relaxed geometry, as listed in Alexandria via LeMat-Bulk.

Geometry as POSCAR:
```
Ta3SN
1.0
4.1814 0.0000 0.0000
0.0000 4.1814 0.0000
0.0000 0.0000 4.1814
Ta S N
3 1 1
Direct
0.0000 0.0000 0.5000 Ta
0.0000 0.5000 0.0000 Ta
0.5000 0.0000 0.0000 Ta
0.5000 0.5000 0.5000 S
0.0000 0.0000 0.0000 N
```

Properties
SG: No. 221
Raw total energy in eV for the cell shown: -51.3
Energy relative to the elements, uncorrected in kJ/mol of atoms: -13.9
Calculated volume in Å³ per cell: 73.1

Entry 10:
First-principles (GGA-PBEsol) data for crystalline BaNa2Pb2 at its relaxed geometry, as listed in Alexandria via LeMat-Bulk.

Geometry as POSCAR:
```
BaNa2Pb2
1.0
-2.4500 2.4500 7.1491
2.4500 -2.4500 7.1491
2.4500 2.4500 -7.1491
Ba Na Pb
1 2 2
Direct
0.0000 0.0000 0.0000 Ba
0.2500 0.7500 0.5000 Na
0.7500 0.2500 0.5000 Na
0.3985 0.3985 0.0000 Pb
0.6015 0.6015 0.0000 Pb
```

Properties
SG: No. 139
Raw total energy in eV for the cell shown: -14.4
Energy of formation in meV/atom: -299
Calculated volume in Å³ per cell: 171.6
ΔE to the lowest computed polymorph in meV per atom: 0

Entry 11:
First-principles (GGA-PBEsol) data for crystalline NaSiIN2 at its relaxed geometry, as listed in Alexandria via LeMat-Bulk.

Geometry as POSCAR:
```
NaSiIN2
1.0
3.6657 0.0000 0.0000
0.0000 3.6657 0.0000
0.0000 0.0000 6.1776
Na Si I N
1 1 1 2
Direct
0.0000 0.0000 0.0000 Na
0.5000 0.5000 0.5000 Si
0.5000 0.5000 0.0000 I
0.0000 0.5000 0.5000 N
0.5000 0.0000 0.5000 N
```

Properties
SG: No. 123
Raw total energy in eV for the cell shown: -24.3
Energy relative to the elements, uncorrected in kJ/mol of atoms: 32.0
Calculated volume in Å³ per cell: 83.0

Entry 12:
First-principles (GGA-PBEsol) data for crystalline Cd3Ge at its relaxed geometry, as listed in Alexandria via LeMat-Bulk.

Geometry as POSCAR:
```
Cd3Ge
1.0
-2.1719 2.1719 4.3313
2.1719 -2.1719 4.3313
2.1719 2.1719 -4.3313
Cd Ge
3 1
Direct
0.0000 0.0000 0.0000 Cd
0.2500 0.7500 0.5000 Cd
0.7500 0.2500 0.5000 Cd
0.5000 0.5000 0.0000 Ge
```

Properties
SG: No. 139
Raw total energy in eV for the cell shown: -8.1
Energy of formation in meV/atom: 106
Calculated volume in Å³ per cell: 81.7

Entry 13:
First-principles (GGA-PBEsol) data for crystalline AlHgGe3 at its relaxed geometry, as listed in Alexandria via LeMat-Bulk.

Geometry as POSCAR:
```
AlHgGe3
1.0
4.8497 0.0000 0.0000
0.0000 4.8497 0.0000
0.0000 0.0000 4.8497
Al Hg Ge
1 1 3
Direct
0.0000 0.0000 0.0000 Al
0.5000 0.5000 0.5000 Hg
0.0000 0.0000 0.5000 Ge
0.0000 0.5000 0.0000 Ge
0.5000 0.0000 0.0000 Ge
```

Properties
SG: No. 221
Raw total energy in eV for the cell shown: -16.6
Energy of formation in meV/atom: 566
Calculated volume in Å³ per cell: 114.1

Entry 14:
First-principles (GGA-PBEsol) data for crystalline Zr2SnGeBi at its relaxed geometry, as listed in Alexandria via LeMat-Bulk.

Geometry as POSCAR:
```
Zr2SnGeBi
1.0
5.3157 0.0000 0.0000
0.0000 5.3157 0.0000
0.0000 0.0000 5.5095
Zr Sn Ge Bi
2 1 1 1
Direct
0.0000 0.5000 0.0000 Zr
0.5000 0.0000 0.0000 Zr
0.0000 0.0000 0.0000 Sn
0.5000 0.5000 0.5000 Ge
0.0000 0.0000 0.5000 Bi
```

Properties
SG: No. 123
Raw total energy in eV for the cell shown: -26.5
Energy of formation in meV/atom: 1037
Calculated volume in Å³ per cell: 155.7